(1)
# VZn2IrN | the Alexandria database | PBE | relaxed
data_VZn2IrN
_chemical_formula_sum 'V1 Zn2 Ir1 N1'
_cell_length_a 4.8070
_cell_length_b 4.8070
_cell_length_c 4.6605
_cell_angle_alpha 90.00
_cell_angle_beta 90.00
_cell_angle_gamma 90.00
_space_group_name_H-M_alt 'P 4/m m m'
_space_group_IT_number 123
_space_group_name_Hall '-P 4 2'
loop_
_atom_site_label
_atom_site_fract_x
_atom_site_fract_y
_atom_site_fract_z
_atom_site_occupancy
V1 0.0000 0.0000 0.0000 1
Zn1 0.0000 0.5000 0.5000 1
Ir1 0.0000 0.0000 0.5000 1
N1 0.5000 0.5000 0.0000 1
# * E_form (uncorrected): 31.73 kcal/mol of atoms

---

(2)
# Ca4LaGa5 | the Alexandria database | PBE | relaxed
data_Ca4LaGa5
_chemical_formula_sum 'Ca4 La1 Ga5'
_cell_length_a 3.7090
_cell_length_b 3.7090
_cell_length_c 18.3031
_cell_angle_alpha 90.00
_cell_angle_beta 90.00
_cell_angle_gamma 90.00
_space_group_name_H-M_alt 'P 4/m m m'
_space_group_IT_number 123
_space_group_name_Hall '-P 4 2'
loop_
_atom_site_label
_atom_site_fract_x
_atom_site_fract_y
_atom_site_fract_z
_atom_site_occupancy
Ca1 0.0000 0.0000 0.0984 1
Ca2 0.0000 0.0000 0.2946 1
La1 0.0000 0.0000 0.5000 1
Ga1 0.5000 0.5000 0.0000 1
Ga2 0.5000 0.5000 0.1966 1
Ga3 0.5000 0.5000 0.3937 1
# * energy relative to the elements: -44.9 kJ per mole of atoms

---

(3)
# YPb | the Alexandria database | PBE | relaxed
data_YPb
_chemical_formula_sum 'Y4 Pb4'
_cell_length_a 7.0659
_cell_length_b 7.0659
_cell_length_c 7.0659
_cell_angle_alpha 90.00
_cell_angle_beta 90.00
_cell_angle_gamma 90.00
_space_group_name_H-M_alt 'F -4 3 m'
_space_group_IT_number 216
_space_group_name_Hall 'F -4 2 3'
loop_
_atom_site_label
_atom_site_fract_x
_atom_site_fract_y
_atom_site_fract_z
_atom_site_occupancy
Y1 0.0000 0.0000 0.0000 1
Pb1 0.2500 0.2500 0.7500 1
# * energy relative to the elements: 37.4 kJ per mole of atoms

---

(4)
# Hf4Ge6Rh7 | the Alexandria database | PBE | relaxed
data_Hf4Ge6Rh7
_chemical_formula_sum 'Hf8 Ge12 Rh14'
_cell_length_a 8.1724
_cell_length_b 8.1724
_cell_length_c 8.1724
_cell_angle_alpha 90.00
_cell_angle_beta 90.00
_cell_angle_gamma 90.00
_space_group_name_H-M_alt 'I m -3 m'
_space_group_IT_number 229
_space_group_name_Hall '-I 4 2 3'
loop_
_atom_site_label
_atom_site_fract_x
_atom_site_fract_y
_atom_site_fract_z
_atom_site_occupancy
Hf1 0.2500 0.2500 0.2500 1
Ge1 0.0000 0.0000 0.3129 1
Rh1 0.0000 0.0000 0.0000 1
Rh2 0.0000 0.2500 0.5000 1
# * energy relative to the elements: -79.8 kJ per mole of atoms

---

(5)
# KY2Te4Au | the Alexandria database | PBE | relaxed
data_KY2Te4Au
_chemical_formula_sum 'K4 Y8 Te16 Au4'
_cell_length_a 4.4203
_cell_length_b 15.0548
_cell_length_c 15.7294
_cell_angle_alpha 90.00
_cell_angle_beta 90.00
_cell_angle_gamma 90.00
_space_group_name_H-M_alt 'C m c m'
_space_group_IT_number 63
_space_group_name_Hall '-C 2c 2'
loop_
_atom_site_label
_atom_site_fract_x
_atom_site_fract_y
_atom_site_fract_z
_atom_site_occupancy
K1 0.0000 0.1308 0.2500 1
Y1 0.0000 0.3697 0.0725 1
Te1 0.0000 0.0000 0.0000 1
Te2 0.0000 0.2670 0.6065 1
Te3 0.0000 0.4553 0.2500 1
Au1 0.0000 0.1548 0.7500 1
# * E_form (uncorrected): -26.20 kcal/mol of atoms

---

(6)
# TaHg2Cl | the Alexandria database | PBE | relaxed
data_TaHg2Cl
_chemical_formula_sum 'Ta3 Hg6 Cl3'
_cell_length_a 3.2780
_cell_length_b 3.2780
_cell_length_c 27.0818
_cell_angle_alpha 90.00
_cell_angle_beta 90.00
_cell_angle_gamma 120.00
_space_group_name_H-M_alt 'R -3 m'
_space_group_IT_number 166
_space_group_name_Hall '-R 3 2"'
loop_
_atom_site_label
_atom_site_fract_x
_atom_site_fract_y
_atom_site_fract_z
_atom_site_occupancy
Ta1 0.0000 0.0000 0.0000 1
Hg1 0.0000 0.0000 0.2499 1
Cl1 0.0000 0.0000 0.5000 1
# * distance to the lowest polymorph of the same formula: 0.355 eV/atom
# * E_form (uncorrected): 4.95 kcal/mol of atoms

---

(7)
# AgGeW3 | the Alexandria database | PBE | relaxed
data_AgGeW3
_chemical_formula_sum 'Ag1 Ge1 W3'
_cell_length_a 4.6123
_cell_length_b 4.6123
_cell_length_c 4.6123
_cell_angle_alpha 90.00
_cell_angle_beta 90.00
_cell_angle_gamma 90.00
_space_group_name_H-M_alt 'P m -3 m'
_space_group_IT_number 221
_space_group_name_Hall '-P 4 2 3'
loop_
_atom_site_label
_atom_site_fract_x
_atom_site_fract_y
_atom_site_fract_z
_atom_site_occupancy
Ag1 0.0000 0.0000 0.0000 1
Ge1 0.5000 0.5000 0.5000 1
W1 0.0000 0.5000 0.5000 1
# * energy relative to the elements: 176.3 kJ per mole of atoms
# * distance to the lowest polymorph of the same formula: 0.000 eV/atom

---

(8)
# La3Zn9Cu2 | the Alexandria database | PBE | relaxed
data_La3Zn9Cu2
_chemical_formula_sum 'La6 Zn18 Cu4'
_cell_length_a 4.5058
_cell_length_b 9.0733
_cell_length_c 13.1795
_cell_angle_alpha 90.00
_cell_angle_beta 90.00
_cell_angle_gamma 90.00
_space_group_name_H-M_alt 'I m m m'
_space_group_IT_number 71
_space_group_name_Hall '-I 2 2'
loop_
_atom_site_label
_atom_site_fract_x
_atom_site_fract_y
_atom_site_fract_z
_atom_site_occupancy
La1 0.0000 0.0000 0.0000 1
La2 0.0000 0.0000 0.3019 1
Zn1 0.0000 0.2850 0.1306 1
Zn2 0.0000 0.3563 0.3401 1
Zn3 0.0000 0.5000 0.0000 1
Cu1 0.0000 0.1954 0.5000 1
# * energy relative to the elements: -28.5 kJ per mole of atoms